Here is a relaxed NaPmVO4 crystal from Alexandria. Energies are from PBE with a Hubbard U.

The calculation puts the total magnetization at 2.000 μB per cell. The calculation puts the total energy at -0.2616 hartree per atom.

The structure belongs to space group P2_1/m (No. 11); the cell edges are 5.9542, 6.2806 and 6.8462 Å and the angles 90.00°, 115.40° and 90.00°. Symmetry generates all atoms from Na at (0.1583, 0.2500, 0.4614), Pm at (0.3311, 0.2500, 0.9889), V at (0.2423, 0.7500, 0.1793), O at (0.0181, 0.7500, 0.9084), O at (0.0617, 0.7500, 0.3291) and O at (0.4857, 0.5418, 0.2068).